[1]
Entry from Alexandria via LeMat-Bulk: a crystal of Fe2ReRh relaxed with PBEsol (SCAN).

Results
Formation energy from the elements, eV per atom: -0.054
Calculated volume, A^3/atom: 12.513

Cell: 2.749 2.749 6.625 Å, 90.00 90.00 90.00°
Element x y z (fractional)
Fe  0.000  0.000  0.021
Fe  0.500  0.500  0.234
Rh  0.500  0.500  0.766
Re  0.000  0.000  0.479

---

[2]
Entry from Alexandria via LeMat-Bulk: a crystal of Fe2ReRh relaxed with PBEsol (SCAN).

Results
Formation energy from the elements, eV per atom: -0.020
Calculated volume, A^3/atom: 12.524

Cell: 2.856 4.197 4.890 Å, 115.41 106.98 90.00°
Element x y z (fractional)
Fe  0.015  0.015  0.031
Fe  0.739  0.239  0.477
Re  0.487  0.487  0.974
Rh  0.259  0.759  0.518

---

[3]
Entry from Alexandria via LeMat-Bulk: a crystal of FeRe2Sb relaxed with PBEsol (SCAN).

Results
Formation energy without anion corrections, meV/atom: 366
Calculated volume, A^3/atom: 15.049

Cell: 3.030 3.030 6.557 Å, 90.00 90.00 90.00°
Element x y z (fractional)
Sb  0.000  0.000  0.521
Fe  0.500  0.500  0.761
Re  0.500  0.500  0.228
Re  0.000  0.000  0.990

---

The following total magnetic moment values (in μB/atom) correspond, in order, to the records above: 1.260 1.343 0.612.